Below is a geometry-optimized Cs2Sb2Rh structure, with properties calculated at the PBE-GGA level.

Calculated volume in A^3/atom: 32.4
Total energy in eV for the cell shown: -37.02
Space-group type: P4/mbm

abc: 7.0622 7.0622 6.4983
angles: 90.00 90.00 90.00
Fractional coordinates of all 10 atoms:
Sb (0.8527, 0.6473, 0.0000)
Sb (0.1473, 0.3527, 0.0000)
Sb (0.6473, 0.1473, 0.0000)
Sb (0.3527, 0.8527, 0.0000)
Cs (0.6781, 0.8219, 0.5000)
Cs (0.3219, 0.1781, 0.5000)
Cs (0.8219, 0.3219, 0.5000)
Cs (0.1781, 0.6781, 0.5000)
Rh (0.0000, 0.0000, 0.0000)
Rh (0.5000, 0.5000, 0.0000)

=====

Below is a geometry-optimized TaS structure, with properties calculated at the PBE-GGA level.

Calculated volume in A^3/atom: 21.3
Total energy in eV for the cell shown: -64.20
Space-group type: P4_2/mnm

abc: 6.3626 6.3626 4.2113
angles: 90.00 90.00 90.00
Fractional coordinates of all 8 atoms:
S (0.2906, 0.7094, 0.0000)
S (0.7906, 0.7906, 0.5000)
S (0.2094, 0.2094, 0.5000)
S (0.7094, 0.2906, 0.0000)
Ta (0.8388, 0.1612, 0.5000)
Ta (0.3388, 0.3388, 0.0000)
Ta (0.1612, 0.8388, 0.5000)
Ta (0.6612, 0.6612, 0.0000)

=====

Below is a geometry-optimized BaTc2Mo structure, with properties calculated at the PBE-GGA level.

Calculated volume in A^3/atom: 21.9
Total energy in eV for the cell shown: -30.65
Energy of formation from the pure elements in kJ/mol of formula units: 273.7
Space-group type: P4mm
Energy above the most stable polymorph in this dataset in eV per atom: 0.095

abc: 3.3159 3.3159 7.9522
angles: 90.00 90.00 90.00
Fractional coordinates of all 4 atoms:
Tc (0.5000, 0.5000, 0.1564)
Tc (0.0000, 0.0000, 0.0027)
Mo (0.5000, 0.5000, 0.8460)
Ba (0.0000, 0.0000, 0.4949)

=====

Below is a geometry-optimized Ac2Pm2Tm structure, with properties calculated at the PBE-GGA level.

Calculated volume in A^3/atom: 37.9
Total energy in eV for the cell shown: -43.74
Energy of formation from the pure elements in kJ/mol of formula units: 30.7
Space-group type: C2/c
Energy above the most stable polymorph in this dataset in eV per atom: 0.000

abc: 7.1253 7.1253 10.0700
angles: 84.24 113.92 124.67
Fractional coordinates of all 10 atoms:
Ac (0.2097, 0.9671, 0.3494)
Ac (0.6177, 0.3603, 0.1506)
Ac (0.7903, 0.0329, 0.6506)
Ac (0.3823, 0.6397, 0.8494)
Pm (0.1872, 0.4307, 0.4500)
Pm (0.9808, 0.2372, 0.0500)
Pm (0.0192, 0.7628, 0.9500)
Pm (0.8128, 0.5693, 0.5500)
Tm (0.4259, 0.1759, 0.7500)
Tm (0.5741, 0.8241, 0.2500)

=====

Below is a geometry-optimized SrSiP2 structure, with properties calculated at the PBE-GGA level.

Calculated volume in A^3/atom: 22.3
Total energy in eV for the cell shown: -19.27
Space-group type: Cm

abc: 5.2411 5.2411 5.1033
angles: 74.53 74.53 41.53
Fractional coordinates of all 4 atoms:
Sr (0.2401, 0.2401, 0.2662)
P (0.0011, 0.0011, 0.8752)
P (0.7906, 0.7906, 0.7512)
Si (0.4682, 0.4682, 0.6075)

=====

Below is a geometry-optimized HfCo7B5 structure, with properties calculated at the PBE-GGA level.

Calculated volume in A^3/atom: 9.1
Total energy in eV for the cell shown: -95.23
Energy of formation from the pure elements in kJ/mol of formula units: -206.8
Space-group type: Imm2

abc: 4.3849 5.6340 5.6340
angles: 81.61 67.10 67.10
Fractional coordinates of all 13 atoms:
B (0.7277, 0.7723, 0.7723)
B (0.0349, 0.9980, 0.5009)
B (0.0349, 0.5009, 0.9980)
B (0.4661, 0.9980, 0.5009)
B (0.4661, 0.5009, 0.9980)
Co (0.9674, 0.3744, 0.6908)
Co (0.5256, 0.7674, 0.1814)
Co (0.5256, 0.1814, 0.7674)
Co (0.2648, 0.2352, 0.2352)
Co (0.6655, 0.3345, 0.3345)
Co (0.3484, 0.6516, 0.6516)
Co (0.9674, 0.6908, 0.3744)
Hf (0.0055, 0.9945, 0.9945)

=====

Below is a geometry-optimized Li8Zn5Ag structure, with properties calculated at the PBE-GGA level.

Calculated volume in A^3/atom: 16.6
Total energy in eV for the cell shown: -25.41
Energy of formation from the pure elements in kJ/mol of formula units: -85.0
Space-group type: I-4
Energy above the most stable polymorph in this dataset in eV per atom: 0.000

abc: 6.7124 6.7124 6.7124
angles: 110.44 107.55 110.44
Fractional coordinates of all 14 atoms:
Li (0.1421, 0.7081, 0.0603)
Li (0.5660, 0.9182, 0.8579)
Li (0.5192, 0.6047, 0.2491)
Li (0.6444, 0.3953, 0.9146)
Li (0.7509, 0.2702, 0.3556)
Li (0.9397, 0.0818, 0.6478)
Li (0.3522, 0.2919, 0.4340)
Li (0.0854, 0.7298, 0.4808)
Zn (0.5000, 0.0000, 0.5000)
Zn (0.0217, 0.3013, 0.1089)
Zn (0.2796, 0.0872, 0.9783)
Zn (0.8076, 0.6987, 0.7204)
Zn (0.8911, 0.9128, 0.1924)
Ag (0.2500, 0.5000, 0.7500)

=====

Below is a geometry-optimized FeP2Os structure, with properties calculated at the PBE-GGA level.

Calculated volume in A^3/atom: 12.0
Total energy in eV for the cell shown: -30.61
Energy of formation from the pure elements in kJ/mol of formula units: -9.6
Space-group type: P4/mmm
Energy above the most stable polymorph in this dataset in eV per atom: 0.227

abc: 2.9107 2.9107 5.6695
angles: 90.00 90.00 90.00
Fractional coordinates of all 4 atoms:
P (0.0000, 0.0000, 0.0167)
P (0.0000, 0.0000, 0.4833)
Fe (0.5000, 0.5000, 0.2500)
Os (0.5000, 0.5000, 0.7500)